Hf2ScBe2 PBE relaxed; symmetry = Cmcm, No. 63; magnetization = 0.00 μB per formula unit
1.0
1.5593 -5.2260 0.0000
1.5593 5.2260 0.0000
0.0000 0.0000 11.5253
Hf Sc Be
4 2 4
Direct
0.1316 0.8684 0.5303 Hf
0.1316 0.8684 0.9697 Hf
0.8684 0.1316 0.0303 Hf
0.8684 0.1316 0.4697 Hf
0.4568 0.5432 0.7500 Sc
0.5432 0.4568 0.2500 Sc
0.2402 0.7598 0.1651 Be
0.2402 0.7598 0.3349 Be
0.7598 0.2402 0.6651 Be
0.7598 0.2402 0.8349 Be

LiAgMoPt PBE relaxed; symmetry = F-43m, No. 216; magnetization = 0.00 μB per formula unit
1.0
0.0000 3.1165 3.1165
3.1165 0.0000 3.1165
3.1165 3.1165 0.0000
Li Ag Mo Pt
1 1 1 1
Direct
0.0000 0.0000 0.0000 Li
0.2500 0.2500 0.2500 Ag
0.7500 0.7500 0.7500 Mo
0.5000 0.5000 0.5000 Pt

BaHgSb PBE relaxed; symmetry = F-43m, No. 216
1.0
0.0000 3.8066 3.8066
3.8066 0.0000 3.8066
3.8066 3.8066 0.0000
Ba Hg Sb
1 1 1
Direct
0.0000 0.0000 0.0000 Ba
0.2500 0.2500 0.2500 Hg
0.5000 0.5000 0.5000 Sb

Zr2Nb4Al3C3 PBE relaxed; symmetry = C2/c, No. 15; magnetization = 0.00 μB per formula unit
1.0
4.7819 -2.7579 0.0000
4.7819 2.7579 0.0000
-3.2453 0.0000 14.0671
Zr Nb Al C
4 8 6 6
Direct
0.0358 0.8723 0.6041 Zr
0.1277 0.9642 0.8959 Zr
0.8723 0.0358 0.1041 Zr
0.9642 0.1277 0.3959 Zr
0.1946 0.3562 0.0829 Nb
0.2996 0.4778 0.4171 Nb
0.3562 0.1946 0.5829 Nb
0.4778 0.2996 0.9171 Nb
0.5222 0.7004 0.0829 Nb
0.6438 0.8054 0.4171 Nb
0.7004 0.5222 0.5829 Nb
0.8054 0.6438 0.9171 Nb
0.0850 0.3763 0.7511 Al
0.3763 0.0850 0.2511 Al
0.4551 0.5449 0.2500 Al
0.5449 0.4551 0.7500 Al
0.6237 0.9150 0.7489 Al
0.9150 0.6237 0.2489 Al
0.0000 0.5000 0.5000 C
0.1661 0.6676 0.0000 C
0.3324 0.8339 0.5000 C
0.5000 0.0000 0.0000 C
0.6676 0.1661 0.5000 C
0.8339 0.3324 0.0000 C

Number 1: VASP energy -6.396 eV/atom. Number 2: VASP energy -5.338 eV/atom. Number 3: VASP energy -2.675 eV/atom. Number 4: VASP energy -8.620 eV/atom.